# TbCeTcNi (PBE-GGA, relaxed)
data_TbCeTcNi
_symmetry_space_group_name_H-M 'F -4 3 m'
_symmetry_Int_Tables_number 216
_symmetry_space_group_name_Hall 'F -4 2 3'
_cell_length_a 6.8519
_cell_length_b 6.8519
_cell_length_c 6.8519
_cell_angle_alpha 90.00
_cell_angle_beta 90.00
_cell_angle_gamma 90.00
loop_
_atom_site_label
_atom_site_type_symbol
_atom_site_fract_x
_atom_site_fract_y
_atom_site_fract_z
Tb1 Tb 0.0000 0.0000 0.0000
Ce1 Ce 0.0000 0.0000 0.5000
Tc1 Tc 0.2500 0.2500 0.2500
Ni1 Ni 0.2500 0.2500 0.7500
# DOS at the Fermi energy ... 14.6 states/eV per cell
# Spin magnetization ... 0.0 Bohr magnetons per cell
# Mass density ... 9410 kg/m³
# Formation enthalpy at 0 K ... -137 meV per atom